The following is a PBE calculation of a relaxed Tl2HgIrCl6 crystal, from the Alexandria database.

Calculated values
As for the formation energy without anion corrections: -0.64 eV/atom. Its spin magnetization is 0.98 μB per formula unit. As for the space-group type: Pmmn (59).

Unit cell a=7.025 b=10.498 c=9.173 alpha=90.00 beta=90.00 gamma=90.00
Element x y z (fractional)
Tl 0.250 0.042 0.170
Tl 0.250 0.458 0.170
Tl 0.750 0.542 0.830
Tl 0.750 0.958 0.830
Hg 0.250 0.250 0.657
Hg 0.750 0.750 0.343
Ir 0.250 0.750 0.823
Ir 0.750 0.250 0.177
Cl 0.011 0.750 0.646
Cl 0.012 0.750 0.005
Cl 0.250 0.527 0.828
Cl 0.250 0.973 0.828
Cl 0.488 0.750 0.005
Cl 0.489 0.750 0.646
Cl 0.511 0.250 0.354
Cl 0.512 0.250 0.995
Cl 0.750 0.027 0.172
Cl 0.750 0.473 0.172
Cl 0.988 0.250 0.995
Cl 0.989 0.250 0.354



The following is a PBE calculation of a relaxed TlHgIrCl6 crystal, from the Alexandria database.

Calculated values
As for the formation energy without anion corrections: -0.66 eV/atom. Its spin magnetization is 0.00 μB per formula unit. As for the space-group type: P312 (149).

Unit cell a=6.793 b=6.793 c=6.806 alpha=90.00 beta=90.00 gamma=120.00
Element x y z (fractional)
Tl 0.000 0.000 0.000
Hg 0.333 0.667 0.500
Ir 0.667 0.333 0.500
Cl 0.389 0.044 0.699
Cl 0.389 0.344 0.301
Cl 0.656 0.044 0.301
Cl 0.656 0.611 0.699
Cl 0.956 0.344 0.699
Cl 0.956 0.611 0.301



The following is a PBE calculation of a relaxed YHg2IrCl crystal, from the Alexandria database.

Calculated values
As for the formation energy without anion corrections: 0.60 eV/atom. Its spin magnetization is 1.01 μB per formula unit. As for the space-group type: P4/mmm (123).

Unit cell a=6.086 b=6.086 c=5.089 alpha=90.00 beta=90.00 gamma=90.00
Element x y z (fractional)
Y 0.000 0.000 0.000
Hg 0.000 0.500 0.000
Hg 0.500 0.000 0.000
Ir 0.000 0.000 0.500
Cl 0.500 0.500 0.500



The following is a PBE calculation of a relaxed K5HgCl8 crystal, from the Alexandria database.

Calculated values
As for the formation energy without anion corrections: -1.42 eV/atom. Its spin magnetization is 1.35 μB per formula unit. Its excess energy over the best structure of this formula in the dataset is 0.36 eV/f.u. As for the space-group type: F-43m (216).

Unit cell a=9.005 b=9.005 c=9.005 alpha=60.00 beta=60.00 gamma=60.00
Element x y z (fractional)
K 0.000 0.000 0.000
K 0.376 0.376 0.376
K 0.376 0.376 0.871
K 0.376 0.871 0.376
K 0.871 0.376 0.376
Hg 0.750 0.750 0.750
Cl 0.101 0.633 0.633
Cl 0.137 0.137 0.137
Cl 0.137 0.137 0.590
Cl 0.137 0.590 0.137
Cl 0.590 0.137 0.137
Cl 0.633 0.101 0.633
Cl 0.633 0.633 0.101
Cl 0.633 0.633 0.633



The following is a PBE calculation of a relaxed K2Hg4Cl9 crystal, from the Alexandria database.

Calculated values
As for the formation energy without anion corrections: -0.89 eV/atom. Its spin magnetization is 0.00 μB per formula unit. As for the space-group type: P-1 (2).

Unit cell a=7.235 b=7.377 c=20.685 alpha=86.87 beta=86.15 gamma=61.80
Element x y z (fractional)
K 0.012 0.433 0.378
K 0.044 0.495 0.135
K 0.956 0.505 0.865
K 0.988 0.567 0.622
Hg 0.302 0.806 0.485
Hg 0.310 0.816 0.814
Hg 0.352 0.810 0.009
Hg 0.361 0.831 0.266
Hg 0.639 0.169 0.734
Hg 0.648 0.190 0.991
Hg 0.690 0.184 0.186
Hg 0.698 0.194 0.515
Cl 0.041 0.175 0.247
Cl 0.047 0.217 0.530
Cl 0.056 0.898 0.087
Cl 0.279 0.201 0.760
Cl 0.324 0.515 0.254
Cl 0.334 0.517 0.929
Cl 0.393 0.957 0.387
Cl 0.423 0.610 0.586
Cl 0.453 0.109 0.081
Cl 0.547 0.891 0.919
Cl 0.577 0.390 0.414
Cl 0.607 0.043 0.613
Cl 0.666 0.483 0.071
Cl 0.676 0.485 0.746
Cl 0.721 0.799 0.240
Cl 0.944 0.102 0.913
Cl 0.953 0.783 0.470
Cl 0.959 0.825 0.753



The following is a PBE calculation of a relaxed K3HgCl5 crystal, from the Alexandria database.

Calculated values
As for the formation energy without anion corrections: -1.47 eV/atom. Its spin magnetization is 0.14 μB per formula unit. As for the space-group type: I4/mcm (140).

Unit cell a=9.803 b=9.803 c=9.803 alpha=128.48 beta=128.48 gamma=75.84
Element x y z (fractional)
K 0.162 0.662 0.824
K 0.250 0.250 0.000
K 0.338 0.162 0.500
K 0.662 0.838 0.500
K 0.750 0.750 0.000
K 0.838 0.338 0.176
Hg 0.250 0.750 0.500
Hg 0.750 0.250 0.500
Cl 0.000 0.000 0.000
Cl 0.015 0.196 0.500
Cl 0.196 0.696 0.181
Cl 0.304 0.485 0.500
Cl 0.485 0.985 0.181
Cl 0.500 0.500 0.000
Cl 0.515 0.015 0.819
Cl 0.696 0.515 0.500
Cl 0.804 0.304 0.819
Cl 0.985 0.804 0.500



The following is a PBE calculation of a relaxed KHg4Cl8 crystal, from the Alexandria database.

Calculated values
As for the formation energy without anion corrections: -0.68 eV/atom. Its spin magnetization is 0.00 μB per formula unit. As for the space-group type: F-43m (216).

Unit cell a=8.435 b=8.435 c=8.435 alpha=60.00 beta=60.00 gamma=60.00
Element x y z (fractional)
K 0.000 0.000 0.000
Hg 0.379 0.379 0.379
Hg 0.379 0.379 0.863
Hg 0.379 0.863 0.379
Hg 0.863 0.379 0.379
Cl 0.144 0.144 0.144
Cl 0.144 0.144 0.567
Cl 0.144 0.567 0.144
Cl 0.167 0.611 0.611
Cl 0.567 0.144 0.144
Cl 0.611 0.167 0.611
Cl 0.611 0.611 0.167
Cl 0.611 0.611 0.611



The following is a PBE calculation of a relaxed K3HgCl crystal, from the Alexandria database.

Calculated values
As for the formation energy without anion corrections: -0.76 eV/atom. Its spin magnetization is 0.00 μB per formula unit. Its excess energy over the best structure of this formula in the dataset is 0.00 eV/f.u. As for the space-group type: Pm-3m (221).

Unit cell a=6.103 b=6.103 c=6.103 alpha=90.00 beta=90.00 gamma=90.00
Element x y z (fractional)
K 0.000 0.000 0.500
K 0.000 0.500 0.000
K 0.500 0.000 0.000
Hg 0.500 0.500 0.500
Cl 0.000 0.000 0.000